Entry 1:
Nd11Sm9Ho4: relaxed, PBE.

Summary:
- Magnetic moment: 0.00 μB/cell
- Energy relative to the elements: 0.06 eV per atom
- Total energy: -111.90 eV per formula unit
- Crystal system: orthorhombic

Cell lengths 3.6869, 15.6303, 15.6303 Å; angles 113.62, 90.00, 90.00 degrees
Last column: nearest neighbours and their distance in Å.
Positions (direct):
Ho 0.5000 0.4431 0.2400  6 Nd 3.35-3.44, 2 Sm 3.52-3.54, 2 Ho 3.69
Nd 0.0000 0.8372 0.1628  4 Nd 3.69-3.83, 8 Sm 3.77-3.80
Nd 0.0000 0.2907 0.2907  4 Ho 3.35, 2 Nd 3.69, 4 Sm 3.73
Nd 0.0000 0.1628 0.8372  4 Nd 3.69-3.83, 8 Sm 3.77-3.80
Ho 0.5000 0.7600 0.5569  6 Nd 3.35-3.44, 2 Sm 3.52-3.54, 2 Ho 3.69
Sm 0.5000 0.3718 0.8343  1 Ho 3.52, 3 Sm 3.53-3.69, 8 Nd 3.59-3.77
Nd 0.0000 0.6305 0.3695  4 Ho 3.37, 4 Sm 3.67, 2 Nd 3.69
Sm 0.5000 0.1657 0.6282  1 Ho 3.52, 3 Sm 3.53-3.69, 8 Nd 3.59-3.77
Nd 0.0000 0.9583 0.5969  2 Ho 3.44, 6 Sm 3.59-3.75, 4 Nd 3.69-3.83
Sm 0.5000 0.2130 0.0648  1 Ho 3.54, 8 Nd 3.58-3.80, 3 Sm 3.69-3.88
Sm 0.5000 0.0648 0.2130  1 Ho 3.54, 8 Nd 3.58-3.80, 3 Sm 3.69-3.88
Nd 0.0000 0.0417 0.4031  2 Ho 3.44, 6 Sm 3.59-3.75, 4 Nd 3.69-3.83
Sm 0.5000 0.6282 0.1657  1 Ho 3.52, 3 Sm 3.53-3.69, 8 Nd 3.59-3.77
Ho 0.5000 0.5569 0.7600  6 Nd 3.35-3.44, 2 Sm 3.52-3.54, 2 Ho 3.69
Ho 0.5000 0.2400 0.4431  6 Nd 3.35-3.44, 2 Sm 3.52-3.54, 2 Ho 3.69
Nd 0.0000 0.0000 0.0000  8 Sm 3.58, 2 Nd 3.69
Nd 0.0000 0.5969 0.9583  2 Ho 3.44, 6 Sm 3.59-3.75, 4 Nd 3.69-3.83
Nd 0.0000 0.7093 0.7093  4 Ho 3.35, 2 Nd 3.69, 4 Sm 3.73
Sm 0.5000 0.8343 0.3718  1 Ho 3.52, 3 Sm 3.53-3.69, 8 Nd 3.59-3.77
Sm 0.5000 0.5000 0.5000  2 Sm 3.69, 4 Ho 3.80, 8 Nd 3.88-4.03
Nd 0.0000 0.3695 0.6305  4 Ho 3.37, 4 Sm 3.67, 2 Nd 3.69
Sm 0.5000 0.9352 0.7870  1 Ho 3.54, 8 Nd 3.58-3.80, 3 Sm 3.69-3.88
Sm 0.5000 0.7870 0.9352  1 Ho 3.54, 8 Nd 3.58-3.80, 3 Sm 3.69-3.88
Nd 0.0000 0.4031 0.0417  2 Ho 3.44, 6 Sm 3.59-3.75, 4 Nd 3.69-3.83

***

Entry 2:
CrRe2Si: relaxed, PBE.

Summary:
- Magnetic moment: 0.70 μB/cell
- Total energy: -39.73 eV per formula unit
- Crystal system: cubic

Cell lengths 4.2489, 4.2489, 4.2489 Å; angles 60.00, 60.00, 60.00 degrees
Last column: nearest neighbours and their distance in Å.
Positions (direct):
Cr 0.5000 0.5000 0.5000  4 Re 2.60, 4 Si 2.60
Si 0.7500 0.7500 0.7500  4 Cr 2.60, 4 Re 2.60
Re 0.0000 0.0000 0.0000  4 Re 2.60, 4 Si 2.60
Re 0.2500 0.2500 0.2500  4 Cr 2.60, 4 Re 2.60